(1)
Crystalline Li3ScOs at its relaxed geometry, computed with PBE-GGA.

Cell: 4.550 4.550 4.550 Å, 90.00 90.00 90.00°
Space group Pm-3m (No. 221)
Unique sites:
Li1 0.000 0.000 0.500 x3
Sc1 0.500 0.500 0.500 x1
Os1 0.000 0.000 0.000 x1

Summary:
The total energy is -18.9 eV per cell. The value obtained for the formation enthalpy at 0 K is 0.877 eV per atom. For the energy above the most stable polymorph in this dataset, the calculation gives 0 meV per atom.

=====

(2)
Crystalline Li2ScOs at its relaxed geometry, computed with PBE-GGA.

Cell: 2.645 2.645 9.536 Å, 90.00 90.00 90.00°
Space group P4/mmm (No. 123)
Unique sites:
Li1 0.000 0.000 0.216 x2
Sc1 0.500 0.500 0.500 x1
Os1 0.500 0.500 0.000 x1

Summary:
The total energy is -19.8 eV per cell. The value obtained for the formation enthalpy at 0 K is 0.401 eV per atom. For the energy above the most stable polymorph in this dataset, the calculation gives 362 meV per atom.

=====

(3)
Crystalline Li2ScOs at its relaxed geometry, computed with PBE-GGA.

Cell: 10.888 3.021 4.397 Å, 90.00 113.38 90.00°
Space group C2/m (No. 12)
Unique sites:
Li1 0.228 0.000 0.227 x4
Sc1 0.000 0.000 0.500 x2
Os1 0.000 0.500 0.000 x2

Summary:
The total energy is -42.5 eV per cell. The value obtained for the formation enthalpy at 0 K is 0.040 eV per atom. For the energy above the most stable polymorph in this dataset, the calculation gives 0 meV per atom.

=====

(4)
Crystalline LiSc2Os2 at its relaxed geometry, computed with PBE-GGA.

Cell: 7.185 7.185 3.488 Å, 90.00 90.00 90.00°
Space group P4/mbm (No. 127)
Unique sites:
Li1 0.000 0.000 0.000 x2
Sc1 0.170 0.330 0.500 x4
Os1 0.129 0.629 0.000 x4

Summary:
The total energy is -73.7 eV per cell. The value obtained for the formation enthalpy at 0 K is 0.038 eV per atom.